Density functional theory data (PBE) for an optimized crystal structure of ErHgSO.

Computed properties:
**Offset from the most stable computed form**: 23.69 kJ per mole of atoms
**SG**: No. 26
**Total magnetic moment**: 0.00 μB per atom

```
data_ErHgSO
_chemical_formula_sum 'Er2 Hg2 S2 O2'
_cell_length_a 4.513
_cell_length_b 8.583
_cell_length_c 5.287
_cell_angle_alpha 90.00
_cell_angle_beta 90.00
_cell_angle_gamma 90.00
_symmetry_space_group_name_H-M 'P 1'
_symmetry_Int_Tables_number 1
_symmetry_space_group_name_Hall 'P 1'
loop_
_atom_site_label
_atom_site_type_symbol
_atom_site_fract_x
_atom_site_fract_y
_atom_site_fract_z
O1 O 0.500 0.088 0.178
O2 O 0.500 0.912 0.678
S1 S 0.000 0.305 0.631
S2 S 0.000 0.695 0.131
Hg1 Hg 0.000 0.691 0.625
Hg2 Hg 0.000 0.309 0.125
Er1 Er 0.500 0.140 0.558
Er2 Er 0.500 0.860 0.058
```



Density functional theory data (PBE) for an optimized crystal structure of Pd.

Computed properties:
**Offset from the most stable computed form**: 12.99 kJ per mole of atoms
**SG**: No. 51
**ΔH_f (0 K)**: 0.135 eV/atom

```
data_Pd
_chemical_formula_sum 'Pd30'
_cell_length_a 3.899
_cell_length_b 3.900
_cell_length_c 43.829
_cell_angle_alpha 90.00
_cell_angle_beta 90.00
_cell_angle_gamma 90.00
_symmetry_space_group_name_H-M 'P 1'
_symmetry_Int_Tables_number 1
_symmetry_space_group_name_Hall 'P 1'
loop_
_atom_site_label
_atom_site_type_symbol
_atom_site_fract_x
_atom_site_fract_y
_atom_site_fract_z
Pd1 Pd 0.250 0.500 0.203
Pd2 Pd 0.250 0.000 0.335
Pd3 Pd 0.250 0.500 0.023
Pd4 Pd 0.250 0.500 0.113
Pd5 Pd 0.750 0.500 0.248
Pd6 Pd 0.750 0.500 0.977
Pd7 Pd 0.750 0.500 0.158
Pd8 Pd 0.750 0.000 0.294
Pd9 Pd 0.750 0.000 0.842
Pd10 Pd 0.250 0.500 0.932
Pd11 Pd 0.250 0.000 0.706
Pd12 Pd 0.250 0.500 0.294
Pd13 Pd 0.750 0.500 0.068
Pd14 Pd 0.750 0.500 0.887
Pd15 Pd 0.250 0.000 0.977
Pd16 Pd 0.250 0.000 0.158
Pd17 Pd 0.250 0.000 0.797
Pd18 Pd 0.250 0.000 0.887
Pd19 Pd 0.750 0.000 0.113
Pd20 Pd 0.750 0.000 0.751
Pd21 Pd 0.250 0.500 0.752
Pd22 Pd 0.750 0.000 0.932
Pd23 Pd 0.750 0.000 0.203
Pd24 Pd 0.750 0.000 0.665
Pd25 Pd 0.750 0.500 0.797
Pd26 Pd 0.750 0.500 0.706
Pd27 Pd 0.250 0.000 0.068
Pd28 Pd 0.250 0.500 0.842
Pd29 Pd 0.750 0.000 0.023
Pd30 Pd 0.250 0.000 0.249
```